! LaNiPO2 (PBE+U, relaxed); values from VASP
! E   -4.99 eV per atom
! E above lowest polymorph   594 meV per atom
! Total magnetic moment   1.981 μB/cell
! Theoretical density   3.877 g cm⁻³
&SYSTEM
  ibrav = 0, nat = 5, ntyp = 4
/
ATOMIC_SPECIES
Ni 58.69 Ni.upf
O 16.00 O.upf
P 30.97 P.upf
La 138.91 La.upf
ATOMIC_POSITIONS crystal
Ni 0.500 0.500 0.500
O 0.000 0.500 0.000
O 0.500 0.000 0.000
P 0.000 0.000 0.500
La 0.000 0.000 0.000
CELL_PARAMETERS angstrom
-0.231 3.751 -1.855
-3.748 0.641 1.764
2.823 2.662 5.031